The following is a DFT calculation (GGA+U) of crystalline HfMn2BiF at its relaxed geometry.

Unit cell a=5.491 b=5.491 c=4.361 alpha=90.00 beta=90.00 gamma=90.00
Element x y z (fractional)
Hf 0.000 0.000 0.000
Mn 0.000 0.500 0.500
Mn 0.500 0.000 0.500
Bi 0.500 0.500 0.500
F 0.500 0.500 0.000

Computed properties:
Crystal system   tetragonal
Uncorrected energy   -5.53 eV/atom